*i*
! HfTcOs, optimized geometry, DFT PBE; values from VASP
! * space group: F-43m, No. 216
! * M_tot: 0.0 μB per formula unit
&SYSTEM
  ibrav = 0, nat = 12, ntyp = 3
/
ATOMIC_SPECIES
Hf 178.49 Hf.upf
Tc 98.00 Tc.upf
Os 190.23 Os.upf
CELL_PARAMETERS angstrom
6.1302 0.0000 0.0000
0.0000 6.1302 0.0000
0.0000 0.0000 6.1302
ATOMIC_POSITIONS crystal
Hf 0.0000 0.0000 0.0000
Hf 0.0000 0.5000 0.5000
Hf 0.5000 0.0000 0.5000
Hf 0.5000 0.5000 0.0000
Tc 0.2500 0.2500 0.2500
Tc 0.2500 0.7500 0.7500
Tc 0.7500 0.2500 0.7500
Tc 0.7500 0.7500 0.2500
Os 0.2500 0.2500 0.7500
Os 0.2500 0.7500 0.2500
Os 0.7500 0.2500 0.2500
Os 0.7500 0.7500 0.7500

***

*ii*
! HfTcOs, optimized geometry, DFT PBE; values from VASP
! * space group: F-43m, No. 216
! * M_tot: 0.0 μB per formula unit
&SYSTEM
  ibrav = 0, nat = 12, ntyp = 3
/
ATOMIC_SPECIES
Hf 178.49 Hf.upf
Tc 98.00 Tc.upf
Os 190.23 Os.upf
CELL_PARAMETERS angstrom
6.1314 0.0000 0.0000
0.0000 6.1314 0.0000
0.0000 0.0000 6.1314
ATOMIC_POSITIONS crystal
Hf 0.0000 0.0000 0.0000
Hf 0.0000 0.5000 0.5000
Hf 0.5000 0.0000 0.5000
Hf 0.5000 0.5000 0.0000
Tc 0.0000 0.0000 0.5000
Tc 0.0000 0.5000 0.0000
Tc 0.5000 0.0000 0.0000
Tc 0.5000 0.5000 0.5000
Os 0.2500 0.2500 0.2500
Os 0.2500 0.7500 0.7500
Os 0.7500 0.2500 0.7500
Os 0.7500 0.7500 0.2500

***

Most stable to least stable: *ii*, *i*

***

*i*
! HfThOs, optimized geometry, DFT PBE; values from VASP
! * space group: F-43m, No. 216
! * M_tot: 0.0 μB per formula unit
&SYSTEM
  ibrav = 0, nat = 12, ntyp = 3
/
ATOMIC_SPECIES
Hf 178.49 Hf.upf
Th 232.04 Th.upf
Os 190.23 Os.upf
CELL_PARAMETERS angstrom
6.6244 0.0000 0.0000
0.0000 6.6244 0.0000
0.0000 0.0000 6.6244
ATOMIC_POSITIONS crystal
Hf 0.0000 0.0000 0.0000
Hf 0.0000 0.5000 0.5000
Hf 0.5000 0.0000 0.5000
Hf 0.5000 0.5000 0.0000
Th 0.2500 0.2500 0.2500
Th 0.2500 0.7500 0.7500
Th 0.7500 0.2500 0.7500
Th 0.7500 0.7500 0.2500
Os 0.0000 0.0000 0.5000
Os 0.0000 0.5000 0.0000
Os 0.5000 0.0000 0.0000
Os 0.5000 0.5000 0.5000

***

*ii*
! HfThOs, optimized geometry, DFT PBE; values from VASP
! * space group: F-43m, No. 216
! * M_tot: 0.0 μB per formula unit
&SYSTEM
  ibrav = 0, nat = 12, ntyp = 3
/
ATOMIC_SPECIES
Hf 178.49 Hf.upf
Th 232.04 Th.upf
Os 190.23 Os.upf
CELL_PARAMETERS angstrom
6.7287 0.0000 0.0000
0.0000 6.7287 0.0000
0.0000 0.0000 6.7287
ATOMIC_POSITIONS crystal
Hf 0.0000 0.0000 0.0000
Hf 0.0000 0.5000 0.5000
Hf 0.5000 0.0000 0.5000
Hf 0.5000 0.5000 0.0000
Th 0.0000 0.0000 0.5000
Th 0.0000 0.5000 0.0000
Th 0.5000 0.0000 0.0000
Th 0.5000 0.5000 0.5000
Os 0.2500 0.2500 0.2500
Os 0.2500 0.7500 0.7500
Os 0.7500 0.2500 0.7500
Os 0.7500 0.7500 0.2500

***

Most stable to least stable: *ii*, *i*